## a
# Tm2PuPb (PBE, optimized geometry)
data_Tm2PuPb
_space_group_name_H-M_alt 'P 1'
_space_group_IT_number 1
_space_group_name_Hall 'P 1'
_cell_length_a 4.6185
_cell_length_b 4.8886
_cell_length_c 4.8886
_cell_angle_alpha 90.00
_cell_angle_beta 90.00
_cell_angle_gamma 90.00
loop_
_atom_site_label
_atom_site_type_symbol
_atom_site_fract_x
_atom_site_fract_y
_atom_site_fract_z
Tm1 Tm 0.0000 0.0000 0.5000
Tm2 Tm 0.0000 0.5000 0.0000
Pu1 Pu 0.5000 0.0000 0.0000
Pb1 Pb 0.5000 0.5000 0.5000
# Symmetry   P4/mmm
# ρ   11871 kg/m3
# M_tot   7.0 Bohr magnetons per cell

=====

## b
# Tm2PuPb (PBE, optimized geometry)
data_Tm2PuPb
_space_group_name_H-M_alt 'P 1'
_space_group_IT_number 1
_space_group_name_Hall 'P 1'
_cell_length_a 3.5417
_cell_length_b 3.5417
_cell_length_c 9.0189
_cell_angle_alpha 90.00
_cell_angle_beta 90.00
_cell_angle_gamma 90.00
loop_
_atom_site_label
_atom_site_type_symbol
_atom_site_fract_x
_atom_site_fract_y
_atom_site_fract_z
Tm1 Tm 0.0000 0.0000 0.2402
Tm2 Tm 0.0000 0.0000 0.7598
Pu1 Pu 0.5000 0.5000 0.5000
Pb1 Pb 0.5000 0.5000 0.0000
# Symmetry   P4/mmm
# ρ   11582 kg/m3
# M_tot   6.2 Bohr magnetons per cell

=====

## c
# Tm2PuPb (PBE, optimized geometry)
data_Tm2PuPb
_space_group_name_H-M_alt 'P 1'
_space_group_IT_number 1
_space_group_name_Hall 'P 1'
_cell_length_a 3.4970
_cell_length_b 3.4970
_cell_length_c 11.0299
_cell_angle_alpha 80.87
_cell_angle_beta 80.87
_cell_angle_gamma 60.00
loop_
_atom_site_label
_atom_site_type_symbol
_atom_site_fract_x
_atom_site_fract_y
_atom_site_fract_z
Tm1 Tm 0.0819 0.0819 0.7544
Tm2 Tm 0.2516 0.2516 0.2453
Pb1 Pb 0.6668 0.6668 0.9996
Pu1 Pu 0.4998 0.4998 0.5006
# Symmetry   R3m
# ρ   11410 kg/m3
# M_tot   6.4 Bohr magnetons per cell

=====

Calculated relative energies: a 0; b 48; c 86, given in meV/atom

=====

## a
# YPuPb (PBE, optimized geometry)
data_YPuPb
_space_group_name_H-M_alt 'P 1'
_space_group_IT_number 1
_space_group_name_Hall 'P 1'
_cell_length_a 5.5494
_cell_length_b 5.5494
_cell_length_c 6.3547
_cell_angle_alpha 90.00
_cell_angle_beta 90.00
_cell_angle_gamma 120.01
loop_
_atom_site_label
_atom_site_type_symbol
_atom_site_fract_x
_atom_site_fract_y
_atom_site_fract_z
Y1 Y 0.3332 0.1668 0.7500
Y2 Y 0.6668 0.8332 0.2500
Pu1 Pu 0.0000 0.5000 0.5000
Pu2 Pu 0.0000 0.5000 0.0000
Pb1 Pb 0.6666 0.8334 0.7500
Pb2 Pb 0.3334 0.1666 0.2500
# Symmetry   P6_3/mmc
# ρ   10584 kg/m3
# M_tot   13.6 Bohr magnetons per cell

=====

## b
# YPuPb (PBE, optimized geometry)
data_YPuPb
_space_group_name_H-M_alt 'P 1'
_space_group_IT_number 1
_space_group_name_Hall 'P 1'
_cell_length_a 3.4728
_cell_length_b 3.4728
_cell_length_c 14.4161
_cell_angle_alpha 98.10
_cell_angle_beta 98.10
_cell_angle_gamma 71.35
loop_
_atom_site_label
_atom_site_type_symbol
_atom_site_fract_x
_atom_site_fract_y
_atom_site_fract_z
Y1 Y 0.3505 0.3505 0.7145
Y2 Y 0.6495 0.6495 0.2855
Pb1 Pb 0.0043 0.0043 0.1064
Pb2 Pb 0.9957 0.9957 0.8936
Pu1 Pu 0.1699 0.1699 0.4642
Pu2 Pu 0.8301 0.8301 0.5358
# Symmetry   C2/m
# ρ   11057 kg/m3
# M_tot   0.0 Bohr magnetons per cell

=====

## c
# YPuPb (PBE, optimized geometry)
data_YPuPb
_space_group_name_H-M_alt 'P 1'
_space_group_IT_number 1
_space_group_name_Hall 'P 1'
_cell_length_a 4.0855
_cell_length_b 4.0855
_cell_length_c 5.9356
_cell_angle_alpha 110.13
_cell_angle_beta 110.13
_cell_angle_gamma 90.00
loop_
_atom_site_label
_atom_site_type_symbol
_atom_site_fract_x
_atom_site_fract_y
_atom_site_fract_z
Pu1 Pu 0.9582 0.9582 0.9164
Y1 Y 0.2702 0.2702 0.5403
Pb1 Pb 0.6217 0.6217 0.2433
# Symmetry   I4mm
# ρ   10363 kg/m3
# M_tot   7.1 Bohr magnetons per cell

=====

## d
# YPuPb (PBE, optimized geometry)
data_YPuPb
_space_group_name_H-M_alt 'P 1'
_space_group_IT_number 1
_space_group_name_Hall 'P 1'
_cell_length_a 3.5491
_cell_length_b 5.3498
_cell_length_c 5.3498
_cell_angle_alpha 120.00
_cell_angle_beta 90.00
_cell_angle_gamma 90.00
loop_
_atom_site_label
_atom_site_type_symbol
_atom_site_fract_x
_atom_site_fract_y
_atom_site_fract_z
Pu1 Pu 0.3009 0.6667 0.3333
Pb1 Pb 0.9683 0.0000 0.0000
Y1 Y 0.7308 0.3333 0.6667
# Symmetry   P3m1
# ρ   10196 kg/m3
# M_tot   6.8 Bohr magnetons per cell

=====

Calculated relative energies: a 0; b 288; c 207; d 232, given in meV/atom

=====

## a
# PuZrPb (PBE, optimized geometry)
data_PuZrPb
_space_group_name_H-M_alt 'P 1'
_space_group_IT_number 1
_space_group_name_Hall 'P 1'
_cell_length_a 3.3679
_cell_length_b 5.2174
_cell_length_c 5.2174
_cell_angle_alpha 120.00
_cell_angle_beta 90.00
_cell_angle_gamma 90.00
loop_
_atom_site_label
_atom_site_type_symbol
_atom_site_fract_x
_atom_site_fract_y
_atom_site_fract_z
Zr1 Zr 0.4991 0.3333 0.6667
Pu1 Pu 0.0001 0.0000 0.0000
Pb1 Pb 0.5008 0.6667 0.3333
# Symmetry   P3m1
# ρ   11345 kg/m3
# M_tot   6.1 Bohr magnetons per cell

=====

## b
# PuZrPb (PBE, optimized geometry)
data_PuZrPb
_space_group_name_H-M_alt 'P 1'
_space_group_IT_number 1
_space_group_name_Hall 'P 1'
_cell_length_a 3.4766
_cell_length_b 9.5941
_cell_length_c 8.5614
_cell_angle_alpha 87.08
_cell_angle_beta 90.00
_cell_angle_gamma 90.00
loop_
_atom_site_label
_atom_site_type_symbol
_atom_site_fract_x
_atom_site_fract_y
_atom_site_fract_z
Zr1 Zr 0.7500 0.9078 0.3723
Zr2 Zr 0.7500 0.4078 0.3723
Zr3 Zr 0.2500 0.0922 0.6277
Zr4 Zr 0.2500 0.5922 0.6277
Pu1 Pu 0.7500 0.0756 0.9700
Pu2 Pu 0.2500 0.4244 0.0300
Pu3 Pu 0.7500 0.5756 0.9700
Pu4 Pu 0.2500 0.9244 0.0300
Pb1 Pb 0.7500 0.8388 0.7237
Pb2 Pb 0.7500 0.3388 0.7237
Pb3 Pb 0.2500 0.1612 0.2763
Pb4 Pb 0.2500 0.6612 0.2763
# Symmetry   P2_1/m
# ρ   12633 kg/m3
# M_tot   1.3 Bohr magnetons per cell

=====

## c
# PuZrPb (PBE, optimized geometry)
data_PuZrPb
_space_group_name_H-M_alt 'P 1'
_space_group_IT_number 1
_space_group_name_Hall 'P 1'
_cell_length_a 3.2358
_cell_length_b 3.2358
_cell_length_c 7.7532
_cell_angle_alpha 102.04
_cell_angle_beta 102.04
_cell_angle_gamma 90.00
loop_
_atom_site_label
_atom_site_type_symbol
_atom_site_fract_x
_atom_site_fract_y
_atom_site_fract_z
Pu1 Pu 0.6710 0.6710 0.3420
Pb1 Pb 0.9950 0.9950 0.9900
Zr1 Zr 0.3340 0.3340 0.6681
# Symmetry   I4mm
# ρ   11613 kg/m3
# M_tot   5.5 Bohr magnetons per cell

=====

Calculated relative energies: a 82; b 16; c 0, given in meV/atom

=====

## a
# PuZr2Pb (PBE, optimized geometry)
data_PuZr2Pb
_space_group_name_H-M_alt 'P 1'
_space_group_IT_number 1
_space_group_name_Hall 'P 1'
_cell_length_a 4.2498
_cell_length_b 4.7215
_cell_length_c 4.7215
_cell_angle_alpha 90.00
_cell_angle_beta 90.00
_cell_angle_gamma 90.00
loop_
_atom_site_label
_atom_site_type_symbol
_atom_site_fract_x
_atom_site_fract_y
_atom_site_fract_z
Pb1 Pb 0.5000 0.5000 0.5000
Zr1 Zr 0.0000 0.5000 0.0000
Zr2 Zr 0.0000 0.0000 0.5000
Pu1 Pu 0.5000 0.0000 0.0000
# Symmetry   P4/mmm
# ρ   11106 kg/m3
# M_tot   5.8 Bohr magnetons per cell

=====

## b
# PuZr2Pb (PBE, optimized geometry)
data_PuZr2Pb
_space_group_name_H-M_alt 'P 1'
_space_group_IT_number 1
_space_group_name_Hall 'P 1'
_cell_length_a 3.3443
_cell_length_b 3.3443
_cell_length_c 10.3702
_cell_angle_alpha 80.72
_cell_angle_beta 80.72
_cell_angle_gamma 60.00
loop_
_atom_site_label
_atom_site_type_symbol
_atom_site_fract_x
_atom_site_fract_y
_atom_site_fract_z
Pb1 Pb 0.5000 0.5000 0.5000
Zr1 Zr 0.2503 0.2503 0.2492
Zr2 Zr 0.7497 0.7497 0.7508
Pu1 Pu 0.0000 0.0000 0.0000
# Symmetry   R-3m
# ρ   10662 kg/m3
# M_tot   5.5 Bohr magnetons per cell

=====

Calculated relative energies: a 0; b 144, given in meV/atom